! HfVI2O (PBE+U, optimized geometry); values from VASP
! DFT total energy	-0.38485	Ry/atom
! mass density	6.841	g/cm³
! SG	P4/mmm (123)
! offset from the most stable computed form	450	meV per atom
&SYSTEM
  ibrav = 0, nat = 5, ntyp = 4
/
ATOMIC_SPECIES
O 16.00 O.upf
Hf 178.49 Hf.upf
V 50.94 V.upf
I 126.90 I.upf
ATOMIC_POSITIONS angstrom
O 0.000 0.000 1.827
Hf 2.879 2.879 1.827
V 0.000 0.000 0.000
I 2.879 0.000 0.000
I 0.000 2.879 0.000
CELL_PARAMETERS angstrom
5.759 0.000 0.000
0.000 5.759 0.000
0.000 0.000 3.654